Entry from Alexandria: an optimized crystal structure of TlCrRu2 (PBEsol).

Summary:
Energy above the lowest structure with this stoichiometry (eV per atom): 0.000
Energy relative to the elements (eV per atom): 0.55

Cell lengths 3.807, 3.807, 4.910 Å; angles 112.81, 112.81, 90.00 degrees
Each line ends with the local moment (μB).
Fractional coordinates of all 4 atoms:
Cr (0.250, 0.750, 0.500)  2.25
Ru (0.000, 0.000, 0.000)  -0.52
Ru (0.750, 0.250, 0.500)  -0.42
Tl (0.500, 0.500, 0.000)  -0.02